# TlAs3Rh | Alexandria | GGA-PBE | relaxed
data_TlAs3Rh
_chemical_formula_sum 'Tl1 As3 Rh1'
_symmetry_space_group_name_H-M 'P m -3 m'
_symmetry_Int_Tables_number 221
_symmetry_space_group_name_Hall '-P 4 2 3'
_cell_length_a 4.910
_cell_length_b 4.910
_cell_length_c 4.910
_cell_angle_alpha 90.00
_cell_angle_beta 90.00
_cell_angle_gamma 90.00
loop_
_atom_site_label
_atom_site_type_symbol
_atom_site_fract_x
_atom_site_fract_y
_atom_site_fract_z
_atom_site_occupancy
Tl1 Tl 0.000 0.000 0.000 1
As1 As 0.000 0.500 0.500 1
Rh1 Rh 0.500 0.500 0.500 1
# Offset from the most stable computed form in meV/atom: 0
# Crystal system: cubic
# ΔH_f (0 K) in eV per atom: 0.35



# Tl4AsRh | Alexandria | GGA-PBE | relaxed
data_Tl4AsRh
_chemical_formula_sum 'Tl16 As4 Rh4'
_symmetry_space_group_name_H-M 'F -4 3 m'
_symmetry_Int_Tables_number 216
_symmetry_space_group_name_Hall 'F -4 2 3'
_cell_length_a 8.669
_cell_length_b 8.669
_cell_length_c 8.669
_cell_angle_alpha 90.00
_cell_angle_beta 90.00
_cell_angle_gamma 90.00
loop_
_atom_site_label
_atom_site_type_symbol
_atom_site_fract_x
_atom_site_fract_y
_atom_site_fract_z
_atom_site_occupancy
Tl1 Tl 0.125 0.125 0.125 1
As1 As 0.250 0.250 0.750 1
Rh1 Rh 0.000 0.000 0.500 1
# Crystal system: cubic
# ΔH_f (0 K) in eV per atom: 0.71



# TlAs2Rh | Alexandria | GGA-PBE | relaxed
data_TlAs2Rh
_chemical_formula_sum 'Tl1 As2 Rh1'
_symmetry_space_group_name_H-M 'P 4/m m m'
_symmetry_Int_Tables_number 123
_symmetry_space_group_name_Hall '-P 4 2'
_cell_length_a 3.980
_cell_length_b 3.980
_cell_length_c 4.887
_cell_angle_alpha 90.00
_cell_angle_beta 90.00
_cell_angle_gamma 90.00
loop_
_atom_site_label
_atom_site_type_symbol
_atom_site_fract_x
_atom_site_fract_y
_atom_site_fract_z
_atom_site_occupancy
Tl1 Tl 0.000 0.000 0.000 1
As1 As 0.000 0.500 0.500 1
Rh1 Rh 0.500 0.500 0.000 1
# Offset from the most stable computed form in meV/atom: 422
# Crystal system: tetragonal
# ΔH_f (0 K) in eV per atom: 0.27



# TlAs2Rh | Alexandria | GGA-PBE | relaxed
data_TlAs2Rh
_chemical_formula_sum 'Tl1 As2 Rh1'
_symmetry_space_group_name_H-M 'P 1 2/m 1'
_symmetry_Int_Tables_number 10
_symmetry_space_group_name_Hall '-P 2y'
_cell_length_a 4.722
_cell_length_b 4.079
_cell_length_c 5.106
_cell_angle_alpha 90.00
_cell_angle_beta 113.93
_cell_angle_gamma 90.00
loop_
_atom_site_label
_atom_site_type_symbol
_atom_site_fract_x
_atom_site_fract_y
_atom_site_fract_z
_atom_site_occupancy
Tl1 Tl 0.000 0.000 0.000 1
As1 As 0.292 0.500 0.638 1
Rh1 Rh 0.500 0.000 0.500 1
# Offset from the most stable computed form in meV/atom: 23
# Crystal system: monoclinic
# ΔH_f (0 K) in eV per atom: -0.13



# Tl2AsRh | Alexandria | GGA-PBE | relaxed
data_Tl2AsRh
_chemical_formula_sum 'Tl2 As1 Rh1'
_symmetry_space_group_name_H-M 'P m m m'
_symmetry_Int_Tables_number 47
_symmetry_space_group_name_Hall '-P 2 2'
_cell_length_a 3.980
_cell_length_b 4.313
_cell_length_c 4.937
_cell_angle_alpha 90.00
_cell_angle_beta 90.00
_cell_angle_gamma 90.00
loop_
_atom_site_label
_atom_site_type_symbol
_atom_site_fract_x
_atom_site_fract_y
_atom_site_fract_z
_atom_site_occupancy
Tl1 Tl 0.000 0.000 0.000 1
Tl2 Tl 0.000 0.500 0.500 1
As1 As 0.500 0.000 0.500 1
Rh1 Rh 0.500 0.500 0.000 1
# Offset from the most stable computed form in meV/atom: 438
# Crystal system: orthorhombic
# ΔH_f (0 K) in eV per atom: 0.35



# TlV2AsRh | Alexandria | GGA-PBE | relaxed
data_TlV2AsRh
_chemical_formula_sum 'Tl1 V2 As1 Rh1'
_symmetry_space_group_name_H-M 'P 4/m m m'
_symmetry_Int_Tables_number 123
_symmetry_space_group_name_Hall '-P 4 2'
_cell_length_a 4.542
_cell_length_b 4.542
_cell_length_c 4.606
_cell_angle_alpha 90.00
_cell_angle_beta 90.00
_cell_angle_gamma 90.00
loop_
_atom_site_label
_atom_site_type_symbol
_atom_site_fract_x
_atom_site_fract_y
_atom_site_fract_z
_atom_site_occupancy
Tl1 Tl 0.000 0.000 0.000 1
V1 V 0.000 0.500 0.500 1
As1 As 0.500 0.500 0.500 1
Rh1 Rh 0.500 0.500 0.000 1
# Crystal system: tetragonal
# ΔH_f (0 K) in eV per atom: 0.51